This record from the Alexandria database describes crystalline Li4FeCo2Ni3P6O24 at its relaxed geometry. The functional is GGA+U.

Cell: 8.353 8.461 8.624 Å, 91.85 118.76 118.13°
Fractional positions:
Li1 0.000 0.000 0.000
Li2 0.088 0.512 0.922
Li3 0.340 0.285 0.692
Li4 0.705 0.636 0.393
Fe1 0.494 0.220 0.446
Co1 0.157 0.355 0.278
Co2 0.216 0.880 0.810
Ni1 0.472 0.714 0.930
Ni2 0.908 0.521 0.148
Ni3 0.910 0.015 0.639
P1 0.000 0.935 0.331
P2 0.400 0.336 0.052
P3 0.404 0.802 0.254
P4 0.674 0.112 0.836
P5 0.731 0.618 0.756
P6 0.997 0.403 0.540
O1 0.007 0.885 0.504
O2 0.031 0.809 0.224
O3 0.055 0.464 0.398
O4 0.058 0.260 0.600
O5 0.120 0.582 0.710
O6 0.189 0.149 0.398
O7 0.215 0.597 0.206
O8 0.292 0.163 0.882
O9 0.309 0.250 0.176
O10 0.326 0.470 0.986
O11 0.369 0.823 0.064
O12 0.387 0.950 0.348
O13 0.486 0.929 0.824
O14 0.556 0.189 0.692
O15 0.567 0.617 0.788
O16 0.595 0.493 0.543
O17 0.622 0.827 0.395
O18 0.652 0.455 0.172
O19 0.748 0.300 0.451
O20 0.784 0.898 0.168
O21 0.818 0.074 0.800
O22 0.836 0.257 0.041
O23 0.858 0.547 0.894
O24 0.917 0.818 0.778

Output
Mass density (g/cm³): 3.543
M_tot (μB per atom): 0.449
Raw total energy (eV/atom): -6.451
Symmetry: P1, No. 1